DFT (PBE) results for an optimized crystal structure of Rb5CeTe4.

Geometry as POSCAR:
```
Rb5CeTe4
1.0
11.002 -2.593 0.000
11.002 2.593 0.000
-4.015 0.000 8.523
Rb Ce Te
5 1 4
direct
0.000 0.000 0.000
0.326 0.326 0.577
0.327 0.327 0.074
0.673 0.673 0.926
0.674 0.674 0.423
0.000 0.000 0.500
0.171 0.171 0.672
0.500 0.500 0.277
0.500 0.500 0.723
0.829 0.829 0.328
```

Output
Its total DFT energy (no corrections) is -33.5 eV per cell. As for the density of states at the Fermi level: 8.09 states/eV per cell. As for the uncorrected formation energy: -1.02 eV/atom.



DFT (PBE) results for an optimized crystal structure of RbCeTe3.

Geometry as POSCAR:
```
RbCeTe3
1.0
9.865 -2.284 0.000
9.865 2.284 0.000
-4.742 0.000 9.952
Rb Ce Te
2 2 6
direct
0.114 0.114 0.296
0.886 0.886 0.704
0.312 0.312 0.194
0.688 0.688 0.806
0.148 0.148 0.962
0.228 0.228 0.665
0.487 0.487 0.368
0.513 0.513 0.632
0.772 0.772 0.335
0.852 0.852 0.038
```

Output
Its total DFT energy (no corrections) is -42.7 eV per cell. As for the density of states at the Fermi level: 5.61 states/eV per cell. As for the uncorrected formation energy: -1.01 eV/atom.



DFT (PBE) results for an optimized crystal structure of RbCeTe.

Geometry as POSCAR:
```
RbCeTe
1.0
5.314 0.000 0.000
0.000 5.314 0.000
0.000 0.000 8.779
Rb Ce Te
2 2 2
direct
0.250 0.750 0.000
0.750 0.250 0.000
0.250 0.750 0.500
0.750 0.250 0.500
0.250 0.250 0.279
0.750 0.750 0.721
```

Output
Its total DFT energy (no corrections) is -23.9 eV per cell. As for the density of states at the Fermi level: 12.63 states/eV per cell. As for the uncorrected formation energy: -0.63 eV/atom.



DFT (PBE) results for an optimized crystal structure of RbCeTe2.

Geometry as POSCAR:
```
RbCeTe2
1.0
4.693 0.000 0.000
-2.347 4.064 0.000
0.000 0.000 25.580
Rb Ce Te
3 3 6
direct
0.000 0.000 0.000
0.333 0.667 0.667
0.667 0.333 0.333
0.000 0.000 0.500
0.333 0.667 0.167
0.667 0.333 0.833
0.000 0.000 0.235
0.000 0.000 0.765
0.333 0.667 0.432
0.333 0.667 0.901
0.667 0.333 0.099
0.667 0.333 0.568
```

Output
Its total DFT energy (no corrections) is -55.6 eV per cell. As for the density of states at the Fermi level: 20.38 states/eV per cell. As for the uncorrected formation energy: -1.34 eV/atom.



DFT (PBE) results for an optimized crystal structure of Rb3CeTe3.

Geometry as POSCAR:
```
Rb3CeTe3
1.0
5.122 -7.890 0.000
5.122 7.890 0.000
-1.412 0.000 8.998
Rb Ce Te
6 2 6
direct
0.177 0.823 0.000
0.241 0.759 0.500
0.386 0.386 0.130
0.614 0.614 0.870
0.759 0.241 0.500
0.823 0.177 0.000
0.187 0.187 0.638
0.813 0.813 0.362
0.097 0.097 0.296
0.164 0.474 0.779
0.474 0.164 0.779
0.526 0.836 0.221
0.836 0.526 0.221
0.903 0.903 0.704
```

Output
Its total DFT energy (no corrections) is -51.9 eV per cell. As for the density of states at the Fermi level: 16.93 states/eV per cell. As for the uncorrected formation energy: -1.10 eV/atom.



DFT (PBE) results for an optimized crystal structure of RbCe2Te4.

Geometry as POSCAR:
```
RbCe2Te4
1.0
-4.725 4.773 6.681
4.725 -4.773 6.681
4.725 4.773 -6.681
Rb Ce Te
2 4 8
direct
0.500 0.000 0.000
0.500 0.500 0.500
0.000 0.000 0.000
0.000 0.000 0.500
0.000 0.500 0.000
0.500 0.000 0.500
0.205 0.237 0.968
0.231 0.763 0.468
0.234 0.204 0.470
0.234 0.763 0.030
0.766 0.237 0.970
0.766 0.796 0.530
0.769 0.237 0.532
0.795 0.763 0.032
```

Output
Its total DFT energy (no corrections) is -68.1 eV per cell. Its energy relative to the lowest polymorph listed for this composition is 0 meV/atom. As for the density of states at the Fermi level: 15.50 states/eV per cell. As for the uncorrected formation energy: -1.24 eV/atom.



DFT (PBE) results for an optimized crystal structure of RbCe4Te6.

Geometry as POSCAR:
```
RbCe4Te6
1.0
2.298 -7.488 0.000
2.298 7.488 0.000
0.000 0.000 23.769
Rb Ce Te
2 8 12
direct
0.163 0.837 0.750
0.837 0.163 0.250
0.094 0.906 0.128
0.094 0.906 0.372
0.364 0.636 0.040
0.364 0.636 0.460
0.636 0.364 0.540
0.636 0.364 0.960
0.906 0.094 0.628
0.906 0.094 0.872
0.000 0.000 0.000
0.000 0.000 0.500
0.150 0.850 0.250
0.270 0.730 0.583
0.270 0.730 0.917
0.459 0.541 0.155
0.459 0.541 0.345
0.541 0.459 0.655
0.541 0.459 0.845
0.730 0.270 0.083
0.730 0.270 0.417
0.850 0.150 0.750
```

Output
Its total DFT energy (no corrections) is -115.9 eV per cell. As for the density of states at the Fermi level: 54.88 states/eV per cell. As for the uncorrected formation energy: -1.31 eV/atom.



DFT (PBE) results for an optimized crystal structure of RbCeTe2.

Geometry as POSCAR:
```
RbCeTe2
1.0
4.665 0.000 0.000
-2.333 4.040 0.000
0.000 0.000 26.049
Rb Ce Te
3 3 6
direct
0.000 0.000 0.000
0.333 0.667 0.667
0.667 0.333 0.333
0.000 0.000 0.169
0.333 0.667 0.836
0.667 0.333 0.502
0.000 0.000 0.570
0.000 0.000 0.768
0.333 0.667 0.237
0.333 0.667 0.434
0.667 0.333 0.101
0.667 0.333 0.903
```

Output
Its total DFT energy (no corrections) is -55.4 eV per cell. As for the density of states at the Fermi level: 20.16 states/eV per cell. As for the uncorrected formation energy: -1.32 eV/atom.



DFT (PBE) results for an optimized crystal structure of RbCeTe2.

Geometry as POSCAR:
```
RbCeTe2
1.0
3.988 0.000 0.000
0.000 3.988 0.000
0.000 0.000 8.764
Rb Ce Te
1 1 2
direct
0.000 0.000 0.000
0.000 0.000 0.500
0.500 0.500 0.293
0.500 0.500 0.707
```

Output
Its total DFT energy (no corrections) is -18.1 eV per cell. As for the density of states at the Fermi level: 5.39 states/eV per cell. As for the uncorrected formation energy: -1.22 eV/atom.



DFT (PBE) results for an optimized crystal structure of RbCe2Te3.

Geometry as POSCAR:
```
RbCe2Te3
1.0
4.566 0.000 0.000
-2.283 3.954 0.000
0.000 0.000 24.713
Rb Ce Te
2 4 6
direct
0.000 0.000 0.250
0.000 0.000 0.750
0.333 0.667 0.075
0.333 0.667 0.425
0.667 0.333 0.575
0.667 0.333 0.925
0.000 0.000 0.000
0.000 0.000 0.500
0.333 0.667 0.647
0.333 0.667 0.853
0.667 0.333 0.147
0.667 0.333 0.353
```

Output
Its total DFT energy (no corrections) is -60.6 eV per cell. As for the density of states at the Fermi level: 30.17 states/eV per cell. As for the uncorrected formation energy: -1.34 eV/atom.



DFT (PBE) results for an optimized crystal structure of RbCe2Te4.

Geometry as POSCAR:
```
RbCe2Te4
1.0
2.427 1.401 13.468
-2.427 1.401 13.468
0.000 -2.802 13.468
Rb Ce Te
1 2 4
direct
0.000 0.000 0.000
0.107 0.107 0.107
0.893 0.893 0.893
0.194 0.194 0.194
0.397 0.397 0.397
0.603 0.603 0.603
0.806 0.806 0.806
```

Output
Its total DFT energy (no corrections) is -33.8 eV per cell. Its energy relative to the lowest polymorph listed for this composition is 35 meV/atom. As for the density of states at the Fermi level: 8.95 states/eV per cell. As for the uncorrected formation energy: -1.20 eV/atom.



DFT (PBE) results for an optimized crystal structure of Rb3CeTh3Te8.

Geometry as POSCAR:
```
Rb3CeTh3Te8
1.0
4.519 2.609 8.833
-4.519 2.609 8.833
0.000 -5.219 8.833
Rb Ce Th Te
3 1 3 8
direct
0.000 0.500 0.500
0.500 0.000 0.500
0.500 0.500 0.000
0.500 0.500 0.500
0.000 0.000 0.500
0.000 0.500 0.000
0.500 0.000 0.000
0.229 0.739 0.739
0.236 0.236 0.236
0.261 0.261 0.771
0.261 0.771 0.261
0.739 0.229 0.739
0.739 0.739 0.229
0.764 0.764 0.764
0.771 0.261 0.261
```

Output
Its total DFT energy (no corrections) is -74.5 eV per cell. As for the density of states at the Fermi level: 15.72 states/eV per cell. As for the uncorrected formation energy: -1.22 eV/atom.



DFT (PBE) results for an optimized crystal structure of Rb3CeTh2Te6.

Geometry as POSCAR:
```
Rb3CeTh2Te6
1.0
3.955 -6.850 0.000
3.955 6.850 0.000
-2.637 0.000 8.719
Rb Ce Th Te
3 1 2 6
direct
0.000 0.000 0.000
0.334 0.666 0.000
0.666 0.334 0.000
0.500 0.500 0.500
0.167 0.833 0.500
0.833 0.167 0.500
0.092 0.430 0.291
0.232 0.232 0.709
0.430 0.092 0.291
0.570 0.908 0.709
0.768 0.768 0.291
0.908 0.570 0.709
```

Output
Its total DFT energy (no corrections) is -57.2 eV per cell. As for the density of states at the Fermi level: 14.19 states/eV per cell. As for the uncorrected formation energy: -1.22 eV/atom.



DFT (PBE) results for an optimized crystal structure of Rb4Ce3ThTe8.

Geometry as POSCAR:
```
Rb4Ce3ThTe8
1.0
4.660 2.690 8.587
-4.660 2.690 8.587
0.000 -5.381 8.587
Rb Ce Th Te
4 3 1 8
direct
0.000 0.000 0.000
0.000 0.500 0.500
0.500 0.000 0.500
0.500 0.500 0.000
0.000 0.000 0.500
0.000 0.500 0.000
0.500 0.000 0.000
0.500 0.500 0.500
0.235 0.235 0.235
0.241 0.732 0.732
0.268 0.268 0.759
0.268 0.759 0.268
0.732 0.241 0.732
0.732 0.732 0.241
0.759 0.268 0.268
0.765 0.765 0.765
```

Output
Its total DFT energy (no corrections) is -75.0 eV per cell. As for the density of states at the Fermi level: 26.81 states/eV per cell. As for the uncorrected formation energy: -1.30 eV/atom.



DFT (PBE) results for an optimized crystal structure of Rb3Ce2ThTe6.

Geometry as POSCAR:
```
Rb3Ce2ThTe6
1.0
4.023 -6.968 0.000
4.023 6.968 0.000
-2.681 0.000 8.605
Rb Ce Th Te
3 2 1 6
direct
0.000 0.000 0.000
0.332 0.668 0.000
0.668 0.332 0.000
0.167 0.833 0.500
0.833 0.167 0.500
0.500 0.500 0.500
0.104 0.431 0.294
0.242 0.242 0.707
0.431 0.104 0.294
0.569 0.896 0.706
0.758 0.758 0.293
0.896 0.569 0.706
```

Output
Its total DFT energy (no corrections) is -56.4 eV per cell. As for the density of states at the Fermi level: 19.85 states/eV per cell. As for the uncorrected formation energy: -1.28 eV/atom.



DFT (PBE) results for an optimized crystal structure of Rb4Ce3TiTe8.

Geometry as POSCAR:
```
Rb4Ce3TiTe8
1.0
7.902 -4.573 0.000
7.902 4.573 0.000
-5.253 0.000 8.534
Rb Ce Ti Te
4 3 1 8
direct
0.000 0.000 0.000
0.000 0.500 0.000
0.500 0.000 0.000
0.500 0.500 0.000
0.000 0.000 0.500
0.000 0.500 0.500
0.500 0.000 0.500
0.500 0.500 0.500
0.236 0.236 0.708
0.252 0.721 0.695
0.278 0.278 0.305
0.279 0.748 0.305
0.721 0.252 0.695
0.722 0.722 0.695
0.748 0.279 0.305
0.764 0.764 0.292
```

Output
Its total DFT energy (no corrections) is -73.6 eV per cell. As for the density of states at the Fermi level: 22.63 states/eV per cell. As for the uncorrected formation energy: -1.18 eV/atom.



DFT (PBE) results for an optimized crystal structure of Rb3Ce3TiTe8.

Geometry as POSCAR:
```
Rb3Ce3TiTe8
1.0
7.781 -4.503 0.000
7.781 4.503 0.000
-5.161 0.000 8.757
Rb Ce Ti Te
3 3 1 8
direct
0.000 0.000 0.000
0.000 0.500 0.000
0.500 0.000 0.000
0.000 0.500 0.500
0.500 0.000 0.500
0.500 0.500 0.500
0.000 0.000 0.500
0.216 0.756 0.688
0.217 0.217 0.689
0.244 0.784 0.312
0.265 0.265 0.293
0.735 0.735 0.707
0.756 0.216 0.688
0.783 0.783 0.311
0.784 0.244 0.312
```

Output
Its total DFT energy (no corrections) is -71.2 eV per cell. As for the density of states at the Fermi level: 21.02 states/eV per cell. As for the uncorrected formation energy: -1.17 eV/atom.



DFT (PBE) results for an optimized crystal structure of Rb3Ce3TmTe8.

Geometry as POSCAR:
```
Rb3Ce3TmTe8
1.0
4.564 2.635 8.689
-4.564 2.635 8.689
0.000 -5.271 8.689
Rb Ce Tm Te
3 3 1 8
direct
0.000 0.500 0.500
0.500 0.000 0.500
0.500 0.500 0.000
0.000 0.000 0.500
0.000 0.500 0.000
0.500 0.000 0.000
0.500 0.500 0.500
0.235 0.235 0.235
0.239 0.729 0.729
0.271 0.271 0.761
0.271 0.761 0.271
0.729 0.239 0.729
0.729 0.729 0.239
0.761 0.271 0.271
0.765 0.765 0.765
```

Output
Its total DFT energy (no corrections) is -70.2 eV per cell. As for the density of states at the Fermi level: 12.03 states/eV per cell. As for the uncorrected formation energy: -1.33 eV/atom.



DFT (PBE) results for an optimized crystal structure of Rb3CeTm2Te6.

Geometry as POSCAR:
```
Rb3CeTm2Te6
1.0
3.947 -6.837 0.000
3.947 6.837 0.000
-2.636 0.000 8.545
Rb Ce Tm Te
3 1 2 6
direct
0.000 0.000 0.000
0.336 0.664 0.000
0.664 0.336 0.000
0.500 0.500 0.500
0.167 0.833 0.500
0.833 0.167 0.500
0.089 0.433 0.301
0.221 0.221 0.698
0.433 0.089 0.301
0.567 0.911 0.699
0.779 0.779 0.302
0.911 0.567 0.699
```

Output
Its total DFT energy (no corrections) is -52.8 eV per cell. As for the density of states at the Fermi level: 8.40 states/eV per cell. As for the uncorrected formation energy: -1.34 eV/atom.



DFT (PBE) results for an optimized crystal structure of Rb4Ce3TmTe8.

Geometry as POSCAR:
```
Rb4Ce3TmTe8
1.0
4.643 2.681 8.535
-4.643 2.681 8.535
0.000 -5.362 8.535
Rb Ce Tm Te
4 3 1 8
direct
0.000 0.000 0.000
0.000 0.500 0.500
0.500 0.000 0.500
0.500 0.500 0.000
0.000 0.000 0.500
0.000 0.500 0.000
0.500 0.000 0.000
0.500 0.500 0.500
0.235 0.235 0.235
0.244 0.728 0.728
0.272 0.272 0.756
0.272 0.756 0.272
0.728 0.244 0.728
0.728 0.728 0.244
0.756 0.272 0.272
0.765 0.765 0.765
```

Output
Its total DFT energy (no corrections) is -72.7 eV per cell. As for the density of states at the Fermi level: 19.11 states/eV per cell. As for the uncorrected formation energy: -1.34 eV/atom.